The following is a DFT calculation (GGA-PBEsol) of crystalline SbW2Br at its relaxed geometry.

- DOS at the Fermi energy (states/eV/atom) = 0.795
- polymorph energy (0 for the lowest one) (meV per atom) = 634
- DFT total energy (eV per formula unit) = -29.4
- formation energy (no corrections) (kJ per mole of atoms) = 112.9

a = 5.536 Å, b = 9.437 Å, c = 3.352 Å
α = 90.00°, β = 121.95°, γ = 90.00°
Sites, in units of the cell vectors:
Sb  0.000  0.000  0.000
Sb  0.500  0.500  0.000
W  0.250  0.250  0.500
W  0.250  0.750  0.500
W  0.750  0.250  0.500
W  0.750  0.750  0.500
Br  0.000  0.500  0.000
Br  0.500  0.000  0.000